Arrangement i

A geometry-optimized Ca3TlCl structure. Source: the Alexandria database, functional PBE-GGA.

a b c (Å): 5.987 5.987 5.987
angles (deg): 90.00 90.00 90.00
Sites, in units of the cell vectors:
Ca: 0.000 0.000 0.500
Ca: 0.000 0.500 0.000
Ca: 0.500 0.000 0.000
Tl: 0.000 0.000 0.000
Cl: 0.500 0.500 0.500

Properties
Calculated volume in Å³ per cell: 215
D(E_F) in states/eV per atom: 0.109

Arrangement ii

A geometry-optimized Ca3TlCl structure. Source: the Alexandria database, functional PBE-GGA.

a b c (Å): 5.348 5.348 5.348
angles (deg): 90.00 90.00 90.00
Sites, in units of the cell vectors:
Ca: 0.000 0.000 0.500
Ca: 0.000 0.500 0.000
Ca: 0.500 0.000 0.000
Tl: 0.500 0.500 0.500
Cl: 0.000 0.000 0.000

Properties
Calculated volume in Å³ per cell: 153
D(E_F) in states/eV per atom: 0.070

Here are the energies relative to the best structure, in eV/atom: arrangement i 0.280; arrangement ii 0.000.

Arrangement i

A geometry-optimized Ca2VCl structure. Source: the Alexandria database, functional PBE-GGA.

a b c (Å): 7.952 7.952 7.805
angles (deg): 90.00 90.00 90.00
Sites, in units of the cell vectors:
Ca: 0.208 0.250 0.125
Ca: 0.250 0.708 0.375
Ca: 0.250 0.792 0.875
Ca: 0.292 0.250 0.625
Ca: 0.708 0.750 0.625
Ca: 0.750 0.208 0.875
Ca: 0.750 0.292 0.375
Ca: 0.792 0.750 0.125
V: 0.000 0.000 0.500
V: 0.000 0.500 0.750
V: 0.500 0.000 0.250
V: 0.500 0.500 0.000
Cl: 0.000 0.000 0.000
Cl: 0.000 0.500 0.250
Cl: 0.500 0.000 0.750
Cl: 0.500 0.500 0.500

Properties
Calculated volume in Å³ per cell: 494
D(E_F) in states/eV per atom: 1.205

Arrangement ii

A geometry-optimized Ca2VCl structure. Source: the Alexandria database, functional PBE-GGA.

a b c (Å): 7.676 7.676 7.676
angles (deg): 90.00 90.00 90.00
Sites, in units of the cell vectors:
Ca: 0.250 0.250 0.250
Ca: 0.250 0.250 0.750
Ca: 0.250 0.750 0.250
Ca: 0.250 0.750 0.750
Ca: 0.750 0.250 0.250
Ca: 0.750 0.250 0.750
Ca: 0.750 0.750 0.250
Ca: 0.750 0.750 0.750
V: 0.000 0.000 0.000
V: 0.000 0.500 0.500
V: 0.500 0.000 0.500
V: 0.500 0.500 0.000
Cl: 0.000 0.000 0.500
Cl: 0.000 0.500 0.000
Cl: 0.500 0.000 0.000
Cl: 0.500 0.500 0.500

Properties
Calculated volume in Å³ per cell: 452
D(E_F) in states/eV per atom: 0.755

Here are the energies relative to the best structure, in eV/atom: arrangement i 0.000; arrangement ii 0.154.

Arrangement i

A geometry-optimized Ca3WCl structure. Source: the Alexandria database, functional PBE-GGA.

a b c (Å): 5.295 5.295 5.295
angles (deg): 90.00 90.00 90.00
Sites, in units of the cell vectors:
Ca: 0.000 0.000 0.500
Ca: 0.000 0.500 0.000
Ca: 0.500 0.000 0.000
W: 0.500 0.500 0.500
Cl: 0.000 0.000 0.000

Properties
Calculated volume in Å³ per cell: 148
D(E_F) in states/eV per atom: 1.674

Arrangement ii

A geometry-optimized Ca3WCl structure. Source: the Alexandria database, functional PBE-GGA.

a b c (Å): 5.526 5.526 5.526
angles (deg): 90.00 90.00 90.00
Sites, in units of the cell vectors:
Ca: 0.000 0.000 0.500
Ca: 0.000 0.500 0.000
Ca: 0.500 0.000 0.000
W: 0.000 0.000 0.000
Cl: 0.500 0.500 0.500

Properties
Calculated volume in Å³ per cell: 169
D(E_F) in states/eV per atom: 0.962

Here are the energies relative to the best structure, in eV/atom: arrangement i 0.000; arrangement ii 0.239.

Arrangement i

A geometry-optimized CaWCl structure. Source: the Alexandria database, functional PBE-GGA.

a b c (Å): 4.816 4.816 3.003
angles (deg): 90.00 90.00 120.00
Sites, in units of the cell vectors:
Ca: 0.000 0.000 0.000
W: 0.667 0.333 0.500
Cl: 0.333 0.667 0.500

Properties
Calculated volume in Å³ per cell: 60
D(E_F) in states/eV per atom: 1.280

Arrangement ii

A geometry-optimized CaWCl structure. Source: the Alexandria database, functional PBE-GGA.

a b c (Å): 3.171 3.171 7.299
angles (deg): 90.00 90.00 120.00
Sites, in units of the cell vectors:
Ca: 0.000 0.000 0.000
W: 0.667 0.333 0.652
Cl: 0.333 0.667 0.269

Properties
Calculated volume in Å³ per cell: 64
D(E_F) in states/eV per atom: 1.416

Arrangement iii

A geometry-optimized CaWCl structure. Source: the Alexandria database, functional PBE-GGA.

a b c (Å): 4.208 4.230 15.456
angles (deg): 90.00 90.00 90.00
Sites, in units of the cell vectors:
Ca: 0.000 0.000 0.000
Ca: 0.000 0.500 0.500
Ca: 0.500 0.000 0.500
Ca: 0.500 0.500 0.000
W: 0.000 0.000 0.338
W: 0.000 0.500 0.838
W: 0.500 0.000 0.838
W: 0.500 0.500 0.338
Cl: 0.000 0.000 0.610
Cl: 0.000 0.500 0.110
Cl: 0.500 0.000 0.110
Cl: 0.500 0.500 0.610

Properties
Calculated volume in Å³ per cell: 275
D(E_F) in states/eV per atom: 0.544

Here are the energies relative to the best structure, in eV/atom: arrangement i 0.457; arrangement ii 0.072; arrangement iii 0.000.

Arrangement i

A geometry-optimized Ca2YCl structure. Source: the Alexandria database, functional PBE-GGA.

a b c (Å): 3.760 3.760 30.474
angles (deg): 90.00 90.00 120.00
Sites, in units of the cell vectors:
Ca: 0.000 0.000 0.236
Ca: 0.000 0.000 0.764
Ca: 0.333 0.667 0.430
Ca: 0.333 0.667 0.903
Ca: 0.667 0.333 0.097
Ca: 0.667 0.333 0.570
Y: 0.000 0.000 0.000
Y: 0.333 0.667 0.667
Y: 0.667 0.333 0.333
Cl: 0.000 0.000 0.500
Cl: 0.333 0.667 0.167
Cl: 0.667 0.333 0.833

Properties
Calculated volume in Å³ per cell: 373
D(E_F) in states/eV per atom: 1.308

Arrangement ii

A geometry-optimized Ca2YCl structure. Source: the Alexandria database, functional PBE-GGA.

a b c (Å): 3.578 3.578 9.722
angles (deg): 90.00 90.00 90.00
Sites, in units of the cell vectors:
Ca: 0.000 0.000 0.220
Ca: 0.000 0.000 0.780
Y: 0.500 0.500 0.500
Cl: 0.500 0.500 0.000

Properties
Calculated volume in Å³ per cell: 124
D(E_F) in states/eV per atom: 1.001

Here are the energies relative to the best structure, in eV/atom: arrangement i 0.000; arrangement ii 0.102.

Arrangement i

A geometry-optimized Ca2YCl structure. Source: the Alexandria database, functional PBE-GGA.

a b c (Å): 5.911 3.719 6.479
angles (deg): 90.00 109.18 90.00
Sites, in units of the cell vectors:
Ca: 0.000 0.000 0.000
Ca: 0.000 0.500 0.500
Y: 0.500 0.000 0.500
Cl: 0.500 0.500 0.000

Properties
Calculated volume in Å³ per cell: 135
D(E_F) in states/eV per atom: 1.202

Arrangement ii

A geometry-optimized Ca2YCl structure. Source: the Alexandria database, functional PBE-GGA.

a b c (Å): 3.805 3.619 9.851
angles (deg): 90.00 90.13 90.00
Sites, in units of the cell vectors:
Ca: 0.001 0.000 0.272
Ca: 0.999 0.000 0.728
Y: 0.500 0.500 0.000
Cl: 0.000 0.500 0.500

Properties
Calculated volume in Å³ per cell: 136
D(E_F) in states/eV per atom: 0.988

Arrangement iii

A geometry-optimized Ca2YCl structure. Source: the Alexandria database, functional PBE-GGA.

a b c (Å): 8.366 8.366 8.366
angles (deg): 90.00 90.00 90.00
Sites, in units of the cell vectors:
Ca: 0.250 0.250 0.250
Ca: 0.250 0.250 0.750
Ca: 0.250 0.750 0.250
Ca: 0.250 0.750 0.750
Ca: 0.750 0.250 0.250
Ca: 0.750 0.250 0.750
Ca: 0.750 0.750 0.250
Ca: 0.750 0.750 0.750
Y: 0.000 0.000 0.000
Y: 0.000 0.500 0.500
Y: 0.500 0.000 0.500
Y: 0.500 0.500 0.000
Cl: 0.000 0.000 0.500
Cl: 0.000 0.500 0.000
Cl: 0.500 0.000 0.000
Cl: 0.500 0.500 0.500

Properties
Calculated volume in Å³ per cell: 585
D(E_F) in states/eV per atom: 2.568

Here are the energies relative to the best structure, in eV/atom: arrangement i 0.464; arrangement ii 0.000; arrangement iii 0.773.

Arrangement i

A geometry-optimized Ca2YCl structure. Source: the Alexandria database, functional PBE-GGA.

a b c (Å): 3.760 3.760 30.851
angles (deg): 90.00 90.00 120.00
Sites, in units of the cell vectors:
Ca: 0.000 0.000 0.000
Ca: 0.000 0.000 0.231
Ca: 0.333 0.667 0.667
Ca: 0.333 0.667 0.897
Ca: 0.667 0.333 0.333
Ca: 0.667 0.333 0.564
Y: 0.000 0.000 0.468
Y: 0.333 0.667 0.135
Y: 0.667 0.333 0.802
Cl: 0.000 0.000 0.735
Cl: 0.333 0.667 0.402
Cl: 0.667 0.333 0.069

Properties
Calculated volume in Å³ per cell: 378
D(E_F) in states/eV per atom: 0.910

Arrangement ii

A geometry-optimized Ca2YCl structure. Source: the Alexandria database, functional PBE-GGA.

a b c (Å): 3.580 6.598 11.149
angles (deg): 90.00 90.00 90.00
Sites, in units of the cell vectors:
Ca: 0.000 0.000 0.203
Ca: 0.000 0.000 0.797
Ca: 0.500 0.500 0.297
Ca: 0.500 0.500 0.703
Y: 0.000 0.500 0.000
Y: 0.500 0.000 0.500
Cl: 0.000 0.500 0.500
Cl: 0.500 0.000 0.000

Properties
Calculated volume in Å³ per cell: 263
D(E_F) in states/eV per atom: 1.254

Arrangement iii

A geometry-optimized Ca2YCl structure. Source: the Alexandria database, functional PBE-GGA.

a b c (Å): 3.998 6.158 10.209
angles (deg): 90.00 90.00 90.00
Sites, in units of the cell vectors:
Ca: 0.000 0.000 0.216
Ca: 0.000 0.000 0.784
Ca: 0.500 0.500 0.216
Ca: 0.500 0.500 0.784
Y: 0.000 0.500 0.500
Y: 0.500 0.000 0.500
Cl: 0.000 0.500 0.000
Cl: 0.500 0.000 0.000

Properties
Calculated volume in Å³ per cell: 251
D(E_F) in states/eV per atom: 0.777

Arrangement iv

A geometry-optimized Ca2YCl structure. Source: the Alexandria database, functional PBE-GGA.

a b c (Å): 6.116 6.116 3.707
angles (deg): 90.00 90.00 90.00
Sites, in units of the cell vectors:
Ca: 0.000 0.500 0.000
Ca: 0.500 0.000 0.000
Y: 0.000 0.000 0.500
Cl: 0.500 0.500 0.500

Properties
Calculated volume in Å³ per cell: 139
D(E_F) in states/eV per atom: 0.847

Here are the energies relative to the best structure, in eV/atom: arrangement i 0.053; arrangement ii 0.233; arrangement iii 0.000; arrangement iv 0.418.

Arrangement i

A geometry-optimized Ca2YCl structure. Source: the Alexandria database, functional PBE-GGA.

a b c (Å): 12.776 3.649 6.325
angles (deg): 90.00 116.13 90.00
Sites, in units of the cell vectors:
Ca: 0.000 0.000 0.000
Ca: 0.191 0.000 0.666
Ca: 0.500 0.500 0.000
Ca: 0.691 0.500 0.666
Y: 0.288 0.500 0.245
Y: 0.788 0.000 0.245
Cl: 0.435 0.000 0.606
Cl: 0.935 0.500 0.606

Properties
Calculated volume in Å³ per cell: 265
D(E_F) in states/eV per atom: 1.190

Arrangement ii

A geometry-optimized Ca2YCl structure. Source: the Alexandria database, functional PBE-GGA.

a b c (Å): 3.830 6.312 10.609
angles (deg): 90.00 90.00 90.00
Sites, in units of the cell vectors:
Ca: 0.000 0.000 0.000
Ca: 0.000 0.500 0.298
Ca: 0.500 0.000 0.298
Ca: 0.500 0.500 0.000
Y: 0.000 0.500 0.721
Y: 0.500 0.000 0.721
Cl: 0.000 0.000 0.508
Cl: 0.500 0.500 0.508

Properties
Calculated volume in Å³ per cell: 256
D(E_F) in states/eV per atom: 0.464

Here are the energies relative to the best structure, in eV/atom: arrangement i 0.067; arrangement ii 0.000.

Arrangement i

A geometry-optimized CaYCl2 structure. Source: the Alexandria database, functional PBE-GGA.

a b c (Å): 8.950 3.580 6.267
angles (deg): 90.00 102.51 90.00
Sites, in units of the cell vectors:
Ca: 0.000 0.000 0.000
Ca: 0.500 0.500 0.000
Y: 0.000 0.500 0.500
Y: 0.500 0.000 0.500
Cl: 0.240 0.000 0.731
Cl: 0.260 0.500 0.269
Cl: 0.740 0.500 0.731
Cl: 0.760 0.000 0.269

Properties
Calculated volume in Å³ per cell: 196
D(E_F) in states/eV per atom: 0.686

Arrangement ii

A geometry-optimized CaYCl2 structure. Source: the Alexandria database, functional PBE-GGA.

a b c (Å): 4.988 4.988 3.544
angles (deg): 90.00 90.00 90.00
Sites, in units of the cell vectors:
Ca: 0.000 0.000 0.000
Y: 0.500 0.500 0.000
Cl: 0.000 0.500 0.500
Cl: 0.500 0.000 0.500

Properties
Calculated volume in Å³ per cell: 88
D(E_F) in states/eV per atom: 0.820

Arrangement iii

A geometry-optimized CaYCl2 structure. Source: the Alexandria database, functional PBE-GGA.

a b c (Å): 7.071 7.071 7.071
angles (deg): 90.00 90.00 90.00
Sites, in units of the cell vectors:
Ca: 0.000 0.000 0.000
Ca: 0.000 0.500 0.500
Ca: 0.500 0.000 0.500
Ca: 0.500 0.500 0.000
Y: 0.000 0.000 0.500
Y: 0.000 0.500 0.000
Y: 0.500 0.000 0.000
Y: 0.500 0.500 0.500
Cl: 0.250 0.250 0.250
Cl: 0.250 0.250 0.750
Cl: 0.250 0.750 0.250
Cl: 0.250 0.750 0.750
Cl: 0.750 0.250 0.250
Cl: 0.750 0.250 0.750
Cl: 0.750 0.750 0.250
Cl: 0.750 0.750 0.750

Properties
Calculated volume in Å³ per cell: 354
D(E_F) in states/eV per atom: 0.617

Arrangement iv

A geometry-optimized CaYCl2 structure. Source: the Alexandria database, functional PBE-GGA.

a b c (Å): 3.510 4.510 6.885
angles (deg): 90.00 90.00 90.00
Sites, in units of the cell vectors:
Ca: 0.000 0.000 0.000
Y: 0.500 0.000 0.500
Cl: 0.000 0.500 0.500
Cl: 0.500 0.500 0.000

Properties
Calculated volume in Å³ per cell: 109
D(E_F) in states/eV per atom: 0.766

Here are the energies relative to the best structure, in eV/atom: arrangement i 0.000; arrangement ii 0.294; arrangement iii 0.305; arrangement iv 0.012.

Arrangement i

A geometry-optimized CaYCl2 structure. Source: the Alexandria database, functional PBE-GGA.

a b c (Å): 3.517 6.847 9.136
angles (deg): 90.00 90.00 90.00
Sites, in units of the cell vectors:
Ca: 0.000 0.000 0.000
Ca: 0.500 0.500 0.500
Y: 0.000 0.000 0.500
Y: 0.500 0.500 0.000
Cl: 0.000 0.500 0.239
Cl: 0.000 0.500 0.761
Cl: 0.500 0.000 0.261
Cl: 0.500 0.000 0.739

Properties
Calculated volume in Å³ per cell: 220
D(E_F) in states/eV per atom: 0.804

Arrangement ii

A geometry-optimized CaYCl2 structure. Source: the Alexandria database, functional PBE-GGA.

a b c (Å): 3.865 3.865 26.667
angles (deg): 90.00 90.00 120.00
Sites, in units of the cell vectors:
Ca: 0.000 0.000 0.000
Ca: 0.333 0.667 0.667
Ca: 0.667 0.333 0.333
Y: 0.000 0.000 0.500
Y: 0.333 0.667 0.167
Y: 0.667 0.333 0.833
Cl: 0.000 0.000 0.393
Cl: 0.000 0.000 0.607
Cl: 0.333 0.667 0.060
Cl: 0.333 0.667 0.274
Cl: 0.667 0.333 0.726
Cl: 0.667 0.333 0.940

Properties
Calculated volume in Å³ per cell: 345
D(E_F) in states/eV per atom: 1.049

Here are the energies relative to the best structure, in eV/atom: arrangement i 0.101; arrangement ii 0.000.

Arrangement i

A geometry-optimized CaYCl3 structure. Source: the Alexandria database, functional PBE-GGA.

a b c (Å): 5.350 5.350 5.350
angles (deg): 90.00 90.00 90.00
Sites, in units of the cell vectors:
Ca: 0.000 0.000 0.000
Y: 0.500 0.500 0.500
Cl: 0.000 0.500 0.500
Cl: 0.500 0.000 0.500
Cl: 0.500 0.500 0.000

Properties
Calculated volume in Å³ per cell: 153
D(E_F) in states/eV per atom: 1.152

Arrangement ii

A geometry-optimized CaYCl3 structure. Source: the Alexandria database, functional PBE-GGA.

a b c (Å): 5.336 5.336 5.336
angles (deg): 90.00 90.00 90.00
Sites, in units of the cell vectors:
Ca: 0.000 0.000 0.000
Y: 0.500 0.500 0.500
Cl: 0.000 0.000 0.500
Cl: 0.000 0.500 0.000
Cl: 0.500 0.000 0.000

Properties
Calculated volume in Å³ per cell: 152
D(E_F) in states/eV per atom: 0.815

Here are the energies relative to the best structure, in eV/atom: arrangement i 0.000; arrangement ii 0.121.